# 1
# Pu3Ga5Pt6

A geometry-optimized Pu3Ga5Pt6 structure (PBE, the Alexandria database).

a = 4.135 Å, b = 12.805 Å, c = 10.042 Å
α = 90.00°, β = 90.00°, γ = 90.00°
Space group Pmmn (No. 59, origin choice 2)
Asymmetric unit:
Pu1 0.250 0.082 0.249 (multiplicity 4)
Pu2 0.250 0.750 0.240 (multiplicity 2)
Ga1 0.250 0.083 0.648 (multiplicity 4)
Ga2 0.250 0.631 0.974 (multiplicity 4)
Ga3 0.250 0.750 0.652 (multiplicity 2)
Pt1 0.250 0.054 0.893 (multiplicity 4)
Pt2 0.250 0.250 0.012 (multiplicity 2)
Pt3 0.250 0.250 0.507 (multiplicity 2)
Pt4 0.250 0.584 0.501 (multiplicity 4)

Output
For the total energy, the calculation gives -7.461 eV per atom.

***

# 2
# La3BiIr

A geometry-optimized La3BiIr structure (PBE, the Alexandria database).

a = 4.9668 Å, b = 4.9668 Å, c = 17.7722 Å
α = 90.00°, β = 90.00°, γ = 120.00°
Space group P6_3/mmc (No. 194)
Asymmetric unit:
La1 0.0000 0.0000 0.2500 (multiplicity 2)
La2 0.3333 0.6667 0.0956 (multiplicity 4)
Bi1 0.0000 0.0000 0.0000 (multiplicity 2)
Ir1 0.3333 0.6667 0.2500 (multiplicity 2)

Output
For the total energy, the calculation gives -6.035 eV per atom. The offset from the most stable computed form is 1.496 eV per formula unit.

***

# 3
# FePd

A geometry-optimized FePd structure (PBE, the Alexandria database).

a = 6.799 Å, b = 7.446 Å, c = 9.650 Å
α = 90.00°, β = 90.00°, γ = 90.00°
Space group Fddd (No. 70, origin choice 2)
Asymmetric unit:
Fe1 0.049 0.375 0.375 (multiplicity 16)
Pd1 0.125 0.309 0.625 (multiplicity 16)

Output
For the total energy, the calculation gives -6.525 eV per atom.

***

# 4
# AlRh5

A geometry-optimized AlRh5 structure (PBE, the Alexandria database).

a = 7.179 Å, b = 7.179 Å, c = 7.179 Å
α = 90.00°, β = 90.00°, γ = 90.00°
Space group F-43m (No. 216)
Asymmetric unit:
Al1 0.000 0.000 0.000 (multiplicity 4)
Rh1 0.125 0.125 0.625 (multiplicity 16)
Rh2 0.250 0.250 0.250 (multiplicity 4)

Output
For the total energy, the calculation gives -6.585 eV per atom.

***

# 5
# SrGa2ICl

A geometry-optimized SrGa2ICl structure (PBE, the Alexandria database).

a = 5.201 Å, b = 5.201 Å, c = 7.128 Å
α = 90.00°, β = 90.00°, γ = 90.00°
Space group P4/mmm (No. 123)
Asymmetric unit:
Sr1 0.000 0.000 0.000 (multiplicity 1)
Ga1 0.000 0.500 0.500 (multiplicity 2)
I1 0.500 0.500 0.000 (multiplicity 1)
Cl1 0.500 0.500 0.500 (multiplicity 1)

Output
Its formation energy from raw total energies is -0.3066 eV/atom. For the total energy, the calculation gives -2.533 eV per atom.

***

# 6
# DyY3H

A geometry-optimized DyY3H structure (PBE, the Alexandria database).

a = 5.011 Å, b = 5.011 Å, c = 5.011 Å
α = 90.00°, β = 90.00°, γ = 90.00°
Space group Pm-3m (No. 221)
Asymmetric unit:
Dy1 0.000 0.000 0.000 (multiplicity 1)
Y1 0.000 0.500 0.500 (multiplicity 3)
H1 0.500 0.500 0.500 (multiplicity 1)

Output
For the total energy, the calculation gives -5.626 eV per atom.

***

# 7
# MnBe2Zn

A geometry-optimized MnBe2Zn structure (PBE, the Alexandria database).

a = 5.608 Å, b = 5.608 Å, c = 5.608 Å
α = 90.00°, β = 90.00°, γ = 90.00°
Space group F-43m (No. 216)
Asymmetric unit:
Mn1 0.000 0.000 0.000 (multiplicity 4)
Be1 0.000 0.000 0.500 (multiplicity 4)
Be2 0.250 0.250 0.750 (multiplicity 4)
Zn1 0.250 0.250 0.250 (multiplicity 4)

Output
For the total energy, the calculation gives -4.331 eV per atom.

***

# 8
# Tl2PtN2

A geometry-optimized Tl2PtN2 structure (PBE, the Alexandria database).

a = 7.482 Å, b = 4.351 Å, c = 10.471 Å
α = 90.00°, β = 90.28°, γ = 90.00°
Space group C2/m (No. 12)
Asymmetric unit:
Tl1 0.165 0.000 0.373 (multiplicity 4)
Pt1 0.000 0.500 0.500 (multiplicity 2)
N1 0.063 0.500 0.971 (multiplicity 4)

Output
Its formation energy from raw total energies is 0.0858 eV/atom. For the total energy, the calculation gives -5.399 eV per atom.

***

# 9
# NdSmTe2Cl

A geometry-optimized NdSmTe2Cl structure (PBE, the Alexandria database).

a = 4.390 Å, b = 4.390 Å, c = 15.142 Å
α = 90.00°, β = 90.00°, γ = 90.00°
Space group P4/nmm (No. 129, origin choice 2)
Asymmetric unit:
Nd1 0.250 0.250 0.133 (multiplicity 2)
Sm1 0.250 0.250 0.585 (multiplicity 2)
Te1 0.250 0.250 0.374 (multiplicity 2)
Te2 0.250 0.250 0.798 (multiplicity 2)
Cl1 0.250 0.750 0.000 (multiplicity 2)

Output
Its formation energy from raw total energies is -1.6383 eV/atom. For the total energy, the calculation gives -5.162 eV per atom.

***

# 10
# AlNO2F

A geometry-optimized AlNO2F structure (PBE, the Alexandria database).

a = 3.651 Å, b = 3.651 Å, c = 3.459 Å
α = 90.00°, β = 90.00°, γ = 90.00°
Space group P4/mmm (No. 123)
Asymmetric unit:
Al1 0.000 0.000 0.000 (multiplicity 1)
N1 0.500 0.500 0.500 (multiplicity 1)
O1 0.000 0.500 0.500 (multiplicity 2)
F1 0.500 0.500 0.000 (multiplicity 1)

Output
Its formation energy from raw total energies is 0.4141 eV/atom. For the total energy, the calculation gives -4.357 eV per atom.

***

# 11
# Ho5Th3

A geometry-optimized Ho5Th3 structure (PBE, the Alexandria database).

a = 3.559 Å, b = 3.559 Å, c = 20.004 Å
α = 90.00°, β = 90.00°, γ = 90.00°
Space group P4/mmm (No. 123)
Asymmetric unit:
Ho1 0.000 0.000 0.000 (multiplicity 1)
Ho2 0.000 0.000 0.247 (multiplicity 2)
Ho3 0.500 0.500 0.379 (multiplicity 2)
Th1 0.000 0.000 0.500 (multiplicity 1)
Th2 0.500 0.500 0.126 (multiplicity 2)

Output
For the total energy, the calculation gives -5.616 eV per atom. The offset from the most stable computed form is 0.000 eV per formula unit.

***

# 12
# Dy3AsS2

A geometry-optimized Dy3AsS2 structure (PBE, the Alexandria database).

a = 3.983 Å, b = 5.628 Å, c = 11.938 Å
α = 90.00°, β = 90.00°, γ = 90.00°
Space group Immm (No. 71)
Asymmetric unit:
Dy1 0.000 0.000 0.000 (multiplicity 2)
Dy2 0.000 0.000 0.331 (multiplicity 4)
As1 0.000 0.500 0.000 (multiplicity 2)
S1 0.000 0.500 0.334 (multiplicity 4)

Output
Its formation energy from raw total energies is -1.8668 eV/atom. For the total energy, the calculation gives -6.319 eV per atom.